Record 1
Sr2TiAs4Pd3 | PBE | relaxed

Cell: 4.3486 4.3486 10.8861 Å, 90.00 90.00 90.00°
With the nearest neighbours (Å) after each atom.
Element x y z (fractional)
Sr 0.0000 0.5000 0.2387  6 Pd 3.30-3.58, 8 As 3.38-3.39, 2 Ti 3.58
Sr 0.5000 0.0000 0.7613  6 Pd 3.30-3.58, 8 As 3.38-3.39, 2 Ti 3.58
Ti 0.0000 0.0000 0.5000  4 As 2.61
As 0.0000 0.0000 0.0000  4 Pd 2.59
As 0.0000 0.5000 0.6321  3 Pd 2.60-2.61, 2 Ti 2.61
As 0.5000 0.0000 0.3679  3 Pd 2.60-2.61, 2 Ti 2.61
As 0.5000 0.5000 0.0000  4 Pd 2.59
Pd 0.0000 0.5000 0.8706  5 As 2.59-2.60
Pd 0.5000 0.0000 0.1294  5 As 2.59-2.60
Pd 0.5000 0.5000 0.5000  4 As 2.61

Results
SG   P-4m2, No. 115



Record 2
Sr2TlAsPd6 | PBE | relaxed

Cell: 5.6848 9.0021 8.7194 Å, 90.00 90.00 90.00°
With the nearest neighbours (Å) after each atom.
Element x y z (fractional)
Sr 0.2500 0.0052 0.2281  5 Pd 3.15-3.25
Sr 0.2500 0.4948 0.2281  5 Pd 3.15-3.25
Sr 0.7500 0.5052 0.7719  5 Pd 3.15-3.25
Sr 0.7500 0.9948 0.7719  5 Pd 3.15-3.25
Tl 0.2500 0.7500 0.7800  6 Pd 2.69-2.80
Tl 0.7500 0.2500 0.2200  6 Pd 2.69-2.80
As 0.2500 0.2500 0.7297  6 Pd 2.44-2.53
As 0.7500 0.7500 0.2703  6 Pd 2.44-2.53
Pd 0.0006 0.7500 0.0428  1 As 2.44, 1 Tl 2.69
Pd 0.0071 0.7500 0.5028  1 As 2.50, 5 Pd 2.76-2.79, 1 Tl 2.78
Pd 0.2500 0.0024 0.5920  1 As 2.53, 4 Pd 2.77-2.79, 1 Tl 2.80
Pd 0.2500 0.4976 0.5920  1 As 2.53, 4 Pd 2.77-2.79, 1 Tl 2.80
Pd 0.4929 0.7500 0.5028  1 As 2.50, 5 Pd 2.76-2.79, 1 Tl 2.78
Pd 0.4994 0.7500 0.0428  1 As 2.44, 1 Tl 2.69
Pd 0.5006 0.2500 0.9572  1 As 2.44, 1 Tl 2.69
Pd 0.5071 0.2500 0.4972  1 As 2.50, 5 Pd 2.76-2.79, 1 Tl 2.78
Pd 0.7500 0.5024 0.4080  1 As 2.53, 4 Pd 2.77-2.79, 1 Tl 2.80
Pd 0.7500 0.9976 0.4080  1 As 2.53, 4 Pd 2.77-2.79, 1 Tl 2.80
Pd 0.9929 0.2500 0.4972  1 As 2.50, 5 Pd 2.76-2.79, 1 Tl 2.78
Pd 0.9994 0.2500 0.9572  1 As 2.44, 1 Tl 2.69

Results
SG   Pmmn, No. 59



Record 3
Sr2TlAs3Pd4 | PBE | relaxed

Cell: 4.4787 4.4787 10.7049 Å, 90.00 90.00 90.00°
With the nearest neighbours (Å) after each atom.
Element x y z (fractional)
Sr 0.0000 0.5000 0.2374  8 Pd 3.39, 6 As 3.40-3.59, 2 Tl 3.59
Sr 0.5000 0.0000 0.7626  8 Pd 3.39, 6 As 3.40-3.59, 2 Tl 3.59
Tl 0.0000 0.0000 0.5000  4 Pd 2.75
As 0.0000 0.5000 0.8786  5 Pd 2.46-2.59
As 0.5000 0.0000 0.1214  5 Pd 2.46-2.59
As 0.5000 0.5000 0.5000  4 Pd 2.75
Pd 0.0000 0.0000 0.0000  4 As 2.59
Pd 0.0000 0.5000 0.6484  3 As 2.46-2.75, 2 Tl 2.75
Pd 0.5000 0.0000 0.3516  3 As 2.46-2.75, 2 Tl 2.75
Pd 0.5000 0.5000 0.0000  4 As 2.59

Results
SG   P-4m2, No. 115



Record 4
Sr3TlAs2Pd9 | PBE | relaxed

Cell: 6.3741 6.3741 10.1141 Å, 90.00 90.00 120.00°
With the nearest neighbours (Å) after each atom.
Element x y z (fractional)
Sr 0.0000 0.0000 0.0000  12 Pd 3.19-3.23
Sr 0.3333 0.6667 0.7143  9 Pd 3.20-3.43
Sr 0.6667 0.3333 0.2857  9 Pd 3.20-3.43
Tl 0.0000 0.0000 0.5000  6 Pd 2.76
As 0.3333 0.6667 0.1626  6 Pd 2.39-2.47
As 0.6667 0.3333 0.8374  6 Pd 2.39-2.47
Pd 0.0000 0.5000 0.0000  2 As 2.47
Pd 0.1443 0.2887 0.2776  1 As 2.39
Pd 0.1443 0.8557 0.2776  1 As 2.39
Pd 0.2887 0.1443 0.7224  1 As 2.39
Pd 0.5000 0.0000 0.0000  2 As 2.47
Pd 0.5000 0.5000 0.0000  2 As 2.47
Pd 0.7113 0.8557 0.2776  1 As 2.39
Pd 0.8557 0.1443 0.7224  1 As 2.39
Pd 0.8557 0.7113 0.7224  1 As 2.39

Results
SG   P-3m1, No. 164



Record 5
SrTl2As2Pd7 | PBE | relaxed

Cell: 4.1126 4.1126 14.7297 Å, 94.72 94.72 89.79°
With the nearest neighbours (Å) after each atom.
Element x y z (fractional)
Sr 0.0000 0.0000 0.0000  12 Pd 2.90-3.09
Tl 0.1024 0.1024 0.4019  5 Pd 2.87-3.03
Tl 0.8976 0.8976 0.5981  5 Pd 2.87-3.03
As 0.4233 0.4233 0.7514  5 Pd 2.45-2.46
As 0.5767 0.5767 0.2486  5 Pd 2.45-2.46
Pd 0.0497 0.5475 0.1569  2 As 2.45-2.46
Pd 0.4030 0.4030 0.5841  1 As 2.45
Pd 0.4525 0.9503 0.8431  2 As 2.45-2.46
Pd 0.5000 0.5000 0.0000  4 Sr 2.90-2.91, 8 Pd 3.07-3.09
Pd 0.5475 0.0497 0.1569  2 As 2.45-2.46
Pd 0.5970 0.5970 0.4159  1 As 2.45
Pd 0.9503 0.4525 0.8431  2 As 2.45-2.46

Results
SG   C2/m, No. 12



Record 6
SrTlAs2Pd4 | PBE | relaxed

Cell: 4.4230 4.4230 8.4074 Å, 90.00 90.00 90.00°
With the nearest neighbours (Å) after each atom.
Element x y z (fractional)
Sr 0.0000 0.0000 0.0000  8 Pd 3.33, 8 As 3.38
Tl 0.0000 0.0000 0.5000  8 Pd 2.80
As 0.5000 0.5000 0.1523  4 Pd 2.52, 1 As 2.56
As 0.5000 0.5000 0.8477  4 Pd 2.52, 1 As 2.56
Pd 0.0000 0.5000 0.2957  2 As 2.52, 2 Tl 2.80
Pd 0.0000 0.5000 0.7043  2 As 2.52, 2 Tl 2.80
Pd 0.5000 0.0000 0.2957  2 As 2.52, 2 Tl 2.80
Pd 0.5000 0.0000 0.7043  2 As 2.52, 2 Tl 2.80

Results
SG   P4/mmm, No. 123



Record 7
Sr2TmAs4Pd3 | PBE | relaxed

Cell: 4.4239 4.4239 11.2177 Å, 90.00 90.00 90.00°
With the nearest neighbours (Å) after each atom.
Element x y z (fractional)
Sr 0.0000 0.5000 0.2311  6 Pd 3.38-3.74, 8 As 3.40-3.41, 2 Tm 3.74
Sr 0.5000 0.0000 0.7689  6 Pd 3.38-3.74, 8 As 3.40-3.41, 2 Tm 3.74
Tm 0.0000 0.0000 0.5000  4 As 2.79
As 0.0000 0.0000 0.0000  4 Pd 2.57
As 0.0000 0.5000 0.6512  3 Pd 2.60-2.79, 2 Tm 2.79
As 0.5000 0.0000 0.3488  3 Pd 2.60-2.79, 2 Tm 2.79
As 0.5000 0.5000 0.0000  4 Pd 2.57
Pd 0.0000 0.5000 0.8832  5 As 2.57-2.60
Pd 0.5000 0.0000 0.1168  5 As 2.57-2.60
Pd 0.5000 0.5000 0.5000  4 As 2.79

Results
SG   P-4m2, No. 115



Record 8
SrAsPdW2 | PBE | relaxed

Cell: 4.6433 4.6433 5.6123 Å, 90.00 90.00 90.00°
With the nearest neighbours (Å) after each atom.
Element x y z (fractional)
Sr 0.0000 0.0000 0.0000  2 As 2.81
As 0.0000 0.0000 0.5000  4 W 2.32
Pd 0.5000 0.5000 0.0000  4 Sr 3.28, 8 W 3.64
W 0.0000 0.5000 0.5000  2 As 2.32
W 0.5000 0.0000 0.5000  2 As 2.32

Results
SG   P4/mmm, No. 123



no.,formation energy from the elements (meV per atom),D(E_F) (states/eV per cell)
1,-837,3.4
2,-540,8.0
3,-671,5.5
4,-498,6.1
5,-293,4.4
6,-510,2.5
7,-912,3.7
8,1181,5.9